# Pm2Ho2Ag, relaxed, DFT GGA-PBE
# Raw total energy = -22.03 eV per formula unit
# Formation energy = -104 meV/atom
data_Pm2Ho2Ag
_chemical_formula_sum 'Pm4 Ho4 Ag2'
_cell_length_a 3.597
_cell_length_b 3.597
_cell_length_c 22.858
_cell_angle_alpha 90.00
_cell_angle_beta 90.00
_cell_angle_gamma 90.00
_space_group_name_H-M_alt 'I 4/m m m'
_space_group_IT_number 139
_space_group_name_Hall '-I 4 2'
loop_
_atom_site_label
_atom_site_fract_x
_atom_site_fract_y
_atom_site_fract_z
_atom_site_occupancy
Pm1 0.000 0.000 0.193 1
Ho1 0.000 0.000 0.419 1
Ag1 0.000 0.000 0.000 1

# Tb3Y2Zn2, relaxed, DFT GGA-PBE
# Energy above the lowest structure with this stoichiometry = 41.7 meV per atom
# Raw total energy = -30.20 eV per formula unit
# Formation energy = -120 meV/atom
data_Tb3Y2Zn2
_chemical_formula_sum 'Tb6 Y4 Zn4'
_cell_length_a 3.564
_cell_length_b 30.609
_cell_length_c 3.535
_cell_angle_alpha 90.00
_cell_angle_beta 90.00
_cell_angle_gamma 90.00
_space_group_name_H-M_alt 'C m m m'
_space_group_IT_number 65
_space_group_name_Hall '-C 2 2'
loop_
_atom_site_label
_atom_site_fract_x
_atom_site_fract_y
_atom_site_fract_z
_atom_site_occupancy
Tb1 0.000 0.000 0.000 1
Tb2 0.000 0.117 0.000 1
Y1 0.000 0.299 0.500 1
Zn1 0.000 0.442 0.500 1

# Ca2GeP2, relaxed, DFT GGA-PBE
# Energy above the lowest structure with this stoichiometry = 0.0 meV per atom
# Raw total energy = -23.45 eV per formula unit
# Formation energy = -801 meV/atom
data_Ca2GeP2
_chemical_formula_sum 'Ca8 Ge4 P8'
_cell_length_a 3.842
_cell_length_b 19.023
_cell_length_c 6.231
_cell_angle_alpha 90.00
_cell_angle_beta 90.00
_cell_angle_gamma 90.00
_space_group_name_H-M_alt 'C m c 21'
_space_group_IT_number 36
loop_
_space_group_symop_operation_xyz
'x,y,z'
'-x,-y,z+1/2'
'-x,y,z'
'x,-y,z+1/2'
'x+1/2,y+1/2,z'
'-x+1/2,-y+1/2,z+1/2'
'-x+1/2,y+1/2,z'
'x+1/2,-y+1/2,z+1/2'
loop_
_atom_site_label
_atom_site_fract_x
_atom_site_fract_y
_atom_site_fract_z
_atom_site_occupancy
Ca1 0.000 0.036 0.000 1
Ca2 0.000 0.195 0.299 1
Ge1 0.000 0.389 0.193 1
P1 0.000 0.188 0.783 1
P2 0.000 0.420 0.822 1

# SmTcF, relaxed, DFT GGA-PBE
# Raw formation energy = -1.7576 eV/atom
# Raw total energy = -22.23 eV per formula unit
data_SmTcF
_chemical_formula_sum 'Sm6 Tc6 F6'
_cell_length_a 4.0644
_cell_length_b 4.0644
_cell_length_c 24.2291
_cell_angle_alpha 90.00
_cell_angle_beta 90.00
_cell_angle_gamma 120.00
_space_group_name_H-M_alt 'R -3 m'
_space_group_IT_number 166
_space_group_name_Hall '-R 3 2"'
loop_
_atom_site_label
_atom_site_fract_x
_atom_site_fract_y
_atom_site_fract_z
_atom_site_occupancy
Sm1 0.0000 0.0000 0.0934 1
Tc1 0.0000 0.0000 0.3423 1
F1 0.0000 0.0000 0.1938 1

# MgZnFe2C, relaxed, DFT GGA-PBE
# Energy above the lowest structure with this stoichiometry = 0.0 meV per atom
# Raw total energy = -28.43 eV per formula unit
# Formation energy = 118 meV/atom
data_MgZnFe2C
_chemical_formula_sum 'Mg1 Zn1 Fe2 C1'
_cell_length_a 3.763
_cell_length_b 3.763
_cell_length_c 4.230
_cell_angle_alpha 90.00
_cell_angle_beta 90.00
_cell_angle_gamma 90.00
_space_group_name_H-M_alt 'P 4/m m m'
_space_group_IT_number 123
_space_group_name_Hall '-P 4 2'
loop_
_atom_site_label
_atom_site_fract_x
_atom_site_fract_y
_atom_site_fract_z
_atom_site_occupancy
Mg1 0.000 0.000 0.000 1
Zn1 0.500 0.500 0.000 1
Fe1 0.000 0.500 0.500 1
C1 0.000 0.000 0.500 1

# RbInSbTe2, relaxed, DFT GGA-PBE
# Energy above the lowest structure with this stoichiometry = 0.0 meV per atom
# Raw formation energy = -0.0136 eV/atom
# Raw total energy = -14.18 eV per formula unit
data_RbInSbTe2
_chemical_formula_sum 'Rb1 In1 Sb1 Te2'
_cell_length_a 5.943
_cell_length_b 5.943
_cell_length_c 5.633
_cell_angle_alpha 90.00
_cell_angle_beta 90.00
_cell_angle_gamma 90.00
_space_group_name_H-M_alt 'P 4/m m m'
_space_group_IT_number 123
_space_group_name_Hall '-P 4 2'
loop_
_atom_site_label
_atom_site_fract_x
_atom_site_fract_y
_atom_site_fract_z
_atom_site_occupancy
Rb1 0.000 0.000 0.000 1
In1 0.500 0.500 0.500 1
Sb1 0.500 0.500 0.000 1
Te1 0.000 0.500 0.500 1

# LiTeIrI2, relaxed, DFT GGA-PBE
# Energy above the lowest structure with this stoichiometry = 0.0 meV per atom
# Raw formation energy = 0.0560 eV/atom
# Raw total energy = -16.74 eV per formula unit
data_LiTeIrI2
_chemical_formula_sum 'Li1 Te1 Ir1 I2'
_cell_length_a 5.752
_cell_length_b 5.752
_cell_length_c 5.044
_cell_angle_alpha 90.00
_cell_angle_beta 90.00
_cell_angle_gamma 90.00
_space_group_name_H-M_alt 'P 4/m m m'
_space_group_IT_number 123
_space_group_name_Hall '-P 4 2'
loop_
_atom_site_label
_atom_site_fract_x
_atom_site_fract_y
_atom_site_fract_z
_atom_site_occupancy
Li1 0.000 0.000 0.000 1
Te1 0.500 0.500 0.000 1
Ir1 0.500 0.500 0.500 1
I1 0.000 0.500 0.500 1

# KAgW3, relaxed, DFT GGA-PBE
# Raw total energy = -24.61 eV per formula unit
# Formation energy = 3640 meV/atom
data_KAgW3
_chemical_formula_sum 'K1 Ag1 W3'
_cell_length_a 4.534
_cell_length_b 4.534
_cell_length_c 4.534
_cell_angle_alpha 90.00
_cell_angle_beta 90.00
_cell_angle_gamma 90.00
_space_group_name_H-M_alt 'P m -3 m'
_space_group_IT_number 221
_space_group_name_Hall '-P 4 2 3'
loop_
_atom_site_label
_atom_site_fract_x
_atom_site_fract_y
_atom_site_fract_z
_atom_site_occupancy
K1 0.000 0.000 0.000 1
Ag1 0.500 0.500 0.500 1
W1 0.000 0.000 0.500 1

# KTl5Hg3, relaxed, DFT GGA-PBE
# Energy above the lowest structure with this stoichiometry = 8.8 meV per atom
# Raw total energy = -14.35 eV per formula unit
# Formation energy = -57 meV/atom
data_KTl5Hg3
_chemical_formula_sum 'K4 Tl20 Hg12'
_cell_length_a 3.444
_cell_length_b 17.702
_cell_length_c 18.353
_cell_angle_alpha 90.00
_cell_angle_beta 90.00
_cell_angle_gamma 90.00
_space_group_name_H-M_alt 'C m c m'
_space_group_IT_number 63
_space_group_name_Hall '-C 2c 2'
loop_
_atom_site_label
_atom_site_fract_x
_atom_site_fract_y
_atom_site_fract_z
_atom_site_occupancy
K1 0.000 0.171 0.250 1
Tl1 0.000 0.000 0.000 1
Tl2 0.000 0.174 0.581 1
Tl3 0.000 0.489 0.161 1
Hg1 0.000 0.154 0.750 1
Hg2 0.000 0.348 0.579 1

# RbNaBe2Co, relaxed, DFT GGA-PBE
# Raw total energy = -13.15 eV per formula unit
# Formation energy = 739 meV/atom
data_RbNaBe2Co
_chemical_formula_sum 'Rb1 Na1 Be2 Co1'
_cell_length_a 4.357
_cell_length_b 4.357
_cell_length_c 5.364
_cell_angle_alpha 90.00
_cell_angle_beta 90.00
_cell_angle_gamma 90.00
_space_group_name_H-M_alt 'P 4/m m m'
_space_group_IT_number 123
_space_group_name_Hall '-P 4 2'
loop_
_atom_site_label
_atom_site_fract_x
_atom_site_fract_y
_atom_site_fract_z
_atom_site_occupancy
Rb1 0.000 0.000 0.000 1
Na1 0.500 0.500 0.000 1
Be1 0.000 0.500 0.500 1
Co1 0.500 0.500 0.500 1

# YGe2PdPt5, relaxed, DFT GGA-PBE
# Raw total energy = -56.54 eV per formula unit
# Formation energy = -605 meV/atom
data_YGe2PdPt5
_chemical_formula_sum 'Y1 Ge2 Pd1 Pt5'
_cell_length_a 4.064
_cell_length_b 4.064
_cell_length_c 9.525
_cell_angle_alpha 90.00
_cell_angle_beta 90.00
_cell_angle_gamma 90.00
_space_group_name_H-M_alt 'P 4/m m m'
_space_group_IT_number 123
_space_group_name_Hall '-P 4 2'
loop_
_atom_site_label
_atom_site_fract_x
_atom_site_fract_y
_atom_site_fract_z
_atom_site_occupancy
Y1 0.000 0.000 0.000 1
Ge1 0.500 0.500 0.374 1
Pd1 0.000 0.000 0.500 1
Pt1 0.000 0.500 0.227 1
Pt2 0.500 0.500 0.000 1

# SiTeI2Br, relaxed, DFT GGA-PBE
# Energy above the lowest structure with this stoichiometry = 640.1 meV per atom
# Raw formation energy = 0.9642 eV/atom
# Raw total energy = -8.52 eV per formula unit
data_SiTeI2Br
_chemical_formula_sum 'Si1 Te1 I2 Br1'
_cell_length_a 5.725
_cell_length_b 5.725
_cell_length_c 5.901
_cell_angle_alpha 90.00
_cell_angle_beta 90.00
_cell_angle_gamma 90.00
_space_group_name_H-M_alt 'P 4/m m m'
_space_group_IT_number 123
_space_group_name_Hall '-P 4 2'
loop_
_atom_site_label
_atom_site_fract_x
_atom_site_fract_y
_atom_site_fract_z
_atom_site_occupancy
Si1 0.000 0.000 0.000 1
Te1 0.500 0.500 0.000 1
I1 0.000 0.500 0.500 1
Br1 0.500 0.500 0.500 1

- Which of these has the highest raw total energy?
  SiTeI2Br